{"formula": "Ca2Mn2C3", "functional": "GGA-PBE", "state": "optimized geometry", "cell": [[10.176, 0.000, 0.000], [0.000, 3.453, 0.000], [-3.598, 0.000, 5.281]], "species": ["Ca", "Ca", "Ca", "Ca", "Mn", "Mn", "Mn", "Mn", "C", "C", "C", "C", "C", "C"], "fractional_positions": [[0.069, 0.000, 0.329], [0.431, 0.500, 0.671], [0.569, 0.500, 0.329], [0.931, 0.000, 0.671], [0.200, 0.500, 0.081], [0.300, 0.000, 0.919], [0.700, 0.000, 0.081], [0.800, 0.500, 0.919], [0.000, 0.500, 0.000], [0.207, 0.500, 0.783], [0.293, 0.000, 0.217], [0.500, 0.000, 0.000], [0.707, 0.000, 0.783], [0.793, 0.500, 0.217]], "sg": "C2/m", "crystal_system": "monoclinic", "vol_a3_per_cell": 185.6, "delta_e_f_ev_per_fu": -0.64}

***

{"formula": "CaMn2C2", "functional": "GGA-PBE", "state": "optimized geometry", "cell": [[0.000, 4.234, 4.530], [3.049, 0.000, 4.530], [3.049, 4.234, 0.000]], "species": ["Ca", "Ca", "Mn", "Mn", "Mn", "Mn", "C", "C", "C", "C"], "fractional_positions": [[0.125, 0.125, 0.125], [0.875, 0.875, 0.875], [0.241, 0.241, 0.509], [0.491, 0.491, 0.759], [0.509, 0.509, 0.241], [0.759, 0.759, 0.491], [0.186, 0.564, 0.186], [0.436, 0.814, 0.436], [0.564, 0.186, 0.564], [0.814, 0.436, 0.814]], "sg": "Fddd", "crystal_system": "orthorhombic", "vol_a3_per_cell": 116.9, "e_above_lowest_polymorph_ev_per_fu": 0.00, "delta_e_f_ev_per_fu": -0.55}

***

{"formula": "CaMnC3", "functional": "GGA-PBE", "state": "optimized geometry", "cell": [[3.822, 0.000, 0.000], [0.000, 3.822, 0.000], [0.000, 0.000, 3.822]], "species": ["Ca", "Mn", "C", "C", "C"], "fractional_positions": [[0.000, 0.000, 0.000], [0.500, 0.500, 0.500], [0.000, 0.500, 0.500], [0.500, 0.000, 0.500], [0.500, 0.500, 0.000]], "sg": "Pm-3m", "crystal_system": "cubic", "vol_a3_per_cell": 55.8, "e_above_lowest_polymorph_ev_per_fu": 0.00, "delta_e_f_ev_per_fu": 5.29}

***

{"formula": "Ca2Mn2C2N", "functional": "GGA-PBE", "state": "optimized geometry", "cell": [[10.211, 0.000, 0.000], [0.000, 3.362, 0.000], [-3.501, 0.000, 5.231]], "species": ["Ca", "Ca", "Ca", "Ca", "Mn", "Mn", "Mn", "Mn", "C", "C", "C", "C", "N", "N"], "fractional_positions": [[0.067, 0.000, 0.330], [0.433, 0.500, 0.670], [0.567, 0.500, 0.330], [0.933, 0.000, 0.670], [0.198, 0.500, 0.081], [0.302, 0.000, 0.919], [0.698, 0.000, 0.081], [0.802, 0.500, 0.919], [0.201, 0.500, 0.770], [0.299, 0.000, 0.230], [0.701, 0.000, 0.770], [0.799, 0.500, 0.230], [0.000, 0.500, 0.000], [0.500, 0.000, 0.000]], "formation_energy_uncorrected_mev_per_atom": -348.7, "sg": "C2/m", "crystal_system": "monoclinic", "vol_a3_per_cell": 179.5}

***

no.,N(E_F) (states/eV per cell)
1,7.623
2,6.055
3,5.315
4,7.622